Record 1
BeTl2InPb (meta-GGA SCAN, single point on PBEsol structure); electronic total energy = -51.0773 eV/atom; symmetry = P4/mmm; ΔH_f (0 K) = 0.57 eV per atom; size of the total moment = 0.000 μB/f.u.
1.0
5.7205 0.0000 0.0000
0.0000 5.7205 0.0000
0.0000 0.0000 4.5153
Be Tl In Pb
1 2 1 1
Cartesian
0.0000 0.0000 0.0000
0.0000 2.8602 2.2576
2.8602 0.0000 2.2576
0.0000 0.0000 2.2576
2.8602 2.8602 0.0000

***

Record 2
LiPt2W (meta-GGA SCAN, single point on PBEsol structure); electronic total energy = -53.5611 eV/atom; symmetry = Cm; ΔH_f (0 K) = -0.45 eV per atom; size of the total moment = 0.000 μB/f.u.
1.0
4.5908 -1.3565 0.0000
4.5908 1.3565 0.0000
-0.5988 0.0000 4.6631
Li Pt W
1 2 1
Cartesian
0.0000 0.0000 0.0000
4.1845 0.0000 2.3053
6.7824 0.0000 0.7663
1.7162 0.0000 3.1310

***

Record 3
VSO5 (meta-GGA SCAN, single point on PBEsol structure); electronic total energy = -10.3311 eV/atom; symmetry = Pnma; distance to the lowest polymorph of the same formula = 0.00 eV per formula unit; E_form (uncorrected) = -2.006 eV per atom; size of the total moment = 1.000 μB/f.u.
1.0
7.1812 0.0000 0.0000
0.0000 6.2814 0.0000
0.0000 0.0000 7.2788
V S O
4 4 20
Cartesian
1.1509 1.5703 1.6858
2.4397 4.7110 5.3252
4.7415 1.5703 1.9536
6.0304 4.7110 5.5929
0.9098 4.7110 0.9013
2.6808 1.5703 4.5407
4.5004 4.7110 2.7380
6.2714 1.5703 6.3774
0.3521 1.5703 7.1619
0.8471 4.7110 4.9695
0.9275 3.5406 1.8012
0.9275 5.8814 1.8012
1.4968 1.5703 3.6565
2.0938 4.7110 0.0171
2.6631 0.3999 5.4405
2.6631 2.7408 5.4405
2.7435 1.5703 1.3301
3.2385 4.7110 3.5225
3.9427 1.5703 3.7562
4.4377 4.7110 5.9487
4.5181 3.5406 1.8382
4.5181 5.8814 1.8382
5.0874 1.5703 7.2617
5.6844 4.7110 3.6223
6.2537 0.3999 5.4776
6.2537 2.7408 5.4776
6.3342 1.5703 2.3093
6.8291 4.7110 0.1168

***

Record 4
MgAlRe2 (meta-GGA SCAN, single point on PBEsol structure); electronic total energy = -38.5922 eV/atom; symmetry = Cmm2; ΔH_f (0 K) = 0.14 eV per atom; distance to the lowest polymorph of the same formula = 0.00 eV per formula unit; size of the total moment = 0.000 μB/f.u.
1.0
1.4865 -2.3081 0.0000
1.4865 2.3081 0.0000
0.0000 0.0000 9.1121
Mg Al Re
1 1 2
Cartesian
0.0000 0.0000 0.0000
1.4865 0.0000 6.6302
0.0000 0.0000 4.4593
1.4865 0.0000 2.3367

***

Record 5
CrHgSe2 (meta-GGA SCAN, single point on PBEsol structure); electronic total energy = -32.1571 eV/atom; symmetry = C2/m; E_form (uncorrected) = -0.480 eV per atom; size of the total moment = 2.221 μB/f.u.
1.0
2.9762 -1.7129 0.0000
2.9762 1.7129 0.0000
-1.8966 0.0000 8.1874
Cr Hg Se
1 1 2
Cartesian
0.0000 0.0000 0.0000
2.0279 0.0000 4.0937
0.0856 0.0000 6.7328
3.9702 0.0000 1.4546

***

Record 6
TcIr2Ru (meta-GGA SCAN, single point on PBEsol structure); electronic total energy = -53.1496 eV/atom; symmetry = Cm; ΔH_f (0 K) = -0.13 eV per atom; distance to the lowest polymorph of the same formula = 0.16 eV per formula unit; size of the total moment = 0.000 μB/f.u.
1.0
4.4661 -1.3410 0.0000
4.4661 1.3410 0.0000
-0.8012 0.0000 4.6095
Tc Ir Ru
1 2 1
Cartesian
0.0000 0.0000 0.0000
4.0702 0.0000 2.3311
6.4890 0.0000 1.1312
1.6348 0.0000 3.4517